Record 1
NaTiGa2O6 GGA-PBE optimized geometry; calculated density = 3.48 g/cm³; VASP energy = -129.88 eV per cell; space group = C2/c (15)
1.0
-4.532 -0.127 -3.894
-1.221 -7.124 -1.503
-6.119 1.290 3.923
Ga Na O Ti
4 2 12 2
Cartesian
-2.862 -2.768 -0.230
-9.010 -3.193 -1.244
-5.915 -4.554 -0.216
-5.957 -1.406 -1.258
-8.995 0.297 0.423
-2.876 -6.258 -1.898
-7.289 -2.048 -2.431
-6.867 -5.749 0.870
-7.265 -3.260 -0.529
-2.027 -4.389 -0.446
-9.845 -1.571 -1.029
-9.922 -4.456 -0.202
-5.259 -5.493 -1.651
-4.607 -2.700 -0.945
-5.005 -0.212 -2.345
-6.613 -0.467 0.177
-1.950 -1.504 -1.272
-4.582 -3.912 0.957
-6.363 -0.269 1.964
-5.509 -5.692 -3.439

Record 2
Na2TiGaO4 GGA-PBE optimized geometry; calculated density = 3.45 g/cm³; VASP energy = -49.76 eV per cell; space group = I-4 (82)
1.0
5.307 -0.106 -0.163
-2.358 4.756 0.163
-2.358 -1.765 4.420
O Ga Na Ti
4 1 2 1
Cartesian
1.099 1.070 2.064
-1.858 2.672 3.668
-1.506 -0.149 2.609
3.449 2.176 0.497
-2.358 1.496 2.291
0.296 3.073 1.146
0.000 0.000 0.000
0.296 -0.188 3.274

Record 3
NaTiGaO4 GGA-PBE optimized geometry; calculated density = 3.53 g/cm³; VASP energy = -96.06 eV per cell; space group = Cmcm (63)
1.0
5.728 0.068 0.000
-2.238 5.273 0.000
0.000 0.000 6.337
O Ti Na Ga
8 2 2 2
Cartesian
0.761 1.092 4.752
0.695 1.136 1.584
3.815 1.318 3.161
2.728 4.249 1.584
2.795 4.205 4.752
3.815 1.318 0.007
-0.325 4.023 6.329
-0.325 4.023 3.175
-1.143 4.557 4.752
4.633 0.784 1.584
1.745 2.671 0.000
1.745 2.671 3.168
-1.093 4.524 1.584
4.582 0.817 4.752